The following is a DFT calculation (PBE-GGA) of an optimized crystal structure of Li2BiAu3.

The structure in extended XYZ format:
```
12
Lattice="4.4615 0.0000 0.0000 2.2091 3.9752 0.0000 0.0292 0.6932 12.7732" Properties=species:S:1:pos:R:3 pbc="T T T"
Li 0.0000 0.0000 0.0000
Li 0.0146 0.3466 6.3866
Li 2.2380 1.5000 4.4977
Li 4.4618 3.1683 8.2755
Bi 2.2497 1.9661 10.4750
Bi 4.4501 2.7022 2.2982
Au 2.2203 4.0873 3.8235
Au 2.2399 1.7423 7.2088
Au 2.2256 1.3464 0.8126
Au 4.4743 3.3220 11.9606
Au 4.4599 2.9260 5.5643
Au 4.4795 0.5811 8.9497
```

Values from the calculation:
Polymorph energy (0 for the lowest one) in meV/atom: 0
Space-group type: No. 2

The following is a DFT calculation (PBE-GGA) of an optimized crystal structure of Li8BiAu5.

The structure in extended XYZ format:
```
14
Lattice="-3.8685 3.8685 4.0588 3.8685 -3.8685 4.0588 3.8685 3.8685 -4.0588" Properties=species:S:1:pos:R:3 pbc="T T T"
Li 5.0872 0.7291 0.1488
Li 3.3182 2.5481 -1.3173
Li 0.7291 2.6497 -0.1488
Li 0.5503 1.3204 2.7415
Li 1.3204 -0.5503 5.3762
Li 3.1393 1.2188 3.9100
Li 2.5481 4.4188 1.3173
Li -1.2188 3.1393 4.2077
Bi 0.0000 0.0000 0.0000
Au 2.1489 -0.9679 2.7585
Au 2.9006 1.7196 1.3003
Au 1.7196 4.8363 -1.3003
Au 0.0000 3.8685 2.0294
Au 0.9679 2.1489 5.3591
```

Values from the calculation:
Final energy in eV per formula unit: -41.402
Space-group type: No. 82

The following is a DFT calculation (PBE-GGA) of an optimized crystal structure of Li2BiAu2.

The structure in extended XYZ format:
```
10
Lattice="7.5098 0.0000 0.0000 0.0000 7.5098 0.0000 0.0000 0.0000 3.2842" Properties=species:S:1:pos:R:3 pbc="T T T"
Li 0.9877 2.7672 0.0000
Li 2.7672 6.5221 0.0000
Li 4.7426 0.9877 0.0000
Li 6.5221 4.7426 0.0000
Bi 0.0000 0.0000 0.0000
Bi 3.7549 3.7549 0.0000
Au 1.1544 4.9093 1.6421
Au 2.6005 1.1544 1.6421
Au 4.9093 6.3554 1.6421
Au 6.3554 2.6005 1.6421
```

Values from the calculation:
Polymorph energy (0 for the lowest one) in meV/atom: 75
Space-group type: No. 127

The following is a DFT calculation (PBE-GGA) of an optimized crystal structure of LiBi2Au2.

The structure in extended XYZ format:
```
10
Lattice="7.2910 0.0000 0.0000 0.0000 7.2910 0.0000 0.0000 0.0000 4.4434" Properties=species:S:1:pos:R:3 pbc="T T T"
Li 0.0000 0.0000 0.0000
Li 3.6455 3.6455 0.0000
Bi 1.2783 2.3672 2.2217
Bi 2.3672 6.0127 2.2217
Bi 4.9237 1.2783 2.2217
Bi 6.0127 4.9237 2.2217
Au 1.0130 4.6585 0.0000
Au 2.6325 1.0130 0.0000
Au 4.6585 6.2780 0.0000
Au 6.2780 2.6325 0.0000
```

Values from the calculation:
Polymorph energy (0 for the lowest one) in meV/atom: 22
Space-group type: No. 127

The following is a DFT calculation (PBE-GGA) of an optimized crystal structure of Li4BiAu.

The structure in extended XYZ format:
```
12
Lattice="7.2262 -3.4524 0.0000 7.2262 3.4524 0.0000 -1.8984 0.0000 4.9074" Properties=species:S:1:pos:R:3 pbc="T T T"
Li 4.5506 1.7532 1.7839
Li 7.2262 2.1832 0.0000
Li 3.0566 0.0000 4.0271
Li 8.0035 1.7532 3.1235
Li 4.5506 -1.7532 1.7839
Li 9.4975 0.0000 0.8803
Li 7.2262 -2.1832 0.0000
Li 8.0035 -1.7532 3.1235
Bi 2.3298 0.0000 0.9168
Bi 10.2244 0.0000 3.9906
Au 6.7468 0.0000 1.2390
Au 5.8074 0.0000 3.6685
```

Values from the calculation:
Polymorph energy (0 for the lowest one) in meV/atom: 0
Space-group type: No. 12

The following is a DFT calculation (PBE-GGA) of an optimized crystal structure of Li3Bi2Au2.

The structure in extended XYZ format:
```
7
Lattice="4.6128 0.0000 0.0000 2.2887 4.0270 0.0000 0.0486 0.0591 8.2070" Properties=species:S:1:pos:R:3 pbc="T T T"
Li 0.0000 0.0000 0.0000
Li 2.3132 1.3595 3.4599
Li 4.6369 2.7267 4.7471
Bi 2.3485 1.4053 6.5792
Bi 4.6016 2.6809 1.6278
Au 0.0450 0.0523 5.5098
Au 6.9051 4.0338 2.6972
```

Values from the calculation:
Polymorph energy (0 for the lowest one) in meV/atom: 0
Space-group type: No. 2

The following is a DFT calculation (PBE-GGA) of an optimized crystal structure of Li4Bi3Au4.

The structure in extended XYZ format:
```
11
Lattice="-2.1983 3.5363 7.2351 2.1983 -3.5363 7.2351 2.1983 3.5363 -7.2351" Properties=species:S:1:pos:R:3 pbc="T T T"
Li 2.1983 -2.1011 4.7338
Li 0.0000 1.4352 2.5013
Li 2.1983 2.1011 4.7338
Li 0.0000 5.6374 2.5013
Bi 2.1983 0.0000 0.0000
Bi 0.0000 0.0000 5.3177
Bi 0.0000 0.0000 9.1526
Au 2.1983 0.0000 3.0799
Au 0.0000 2.1319 0.0000
Au 0.0000 4.9407 0.0000
Au 0.0000 3.5363 4.1552
```

Values from the calculation:
Final energy in eV per formula unit: -35.780
Space-group type: No. 71

The following is a DFT calculation (PBE-GGA) of an optimized crystal structure of Li3BiAu3.

The structure in extended XYZ format:
```
14
Lattice="6.8231 0.0000 0.0000 0.0000 6.8231 0.0000 0.0000 0.0000 6.8231" Properties=species:S:1:pos:R:3 pbc="T T T"
Li 0.0000 1.7058 3.4115
Li 0.0000 5.1173 3.4115
Li 1.7058 3.4115 0.0000
Li 3.4115 0.0000 1.7058
Li 3.4115 0.0000 5.1173
Li 5.1173 3.4115 0.0000
Bi 0.0000 0.0000 0.0000
Bi 3.4115 3.4115 3.4115
Au 0.0000 3.4115 1.7058
Au 0.0000 3.4115 5.1173
Au 1.7058 0.0000 3.4115
Au 3.4115 1.7058 0.0000
Au 3.4115 5.1173 0.0000
Au 5.1173 0.0000 3.4115
```

Values from the calculation:
Final energy in eV per formula unit: -19.063
Space-group type: No. 223

The following is a DFT calculation (PBE-GGA) of an optimized crystal structure of Li3Bi3Au2.

The structure in extended XYZ format:
```
8
Lattice="4.3541 0.0000 0.0000 -0.0369 4.4918 0.0000 -2.0842 -2.2507 9.1451" Properties=species:S:1:pos:R:3 pbc="T T T"
Li 0.0000 0.0000 0.0000
Li 0.0178 2.2451 2.7679
Li 2.2151 -0.0040 6.3772
Bi 0.0186 2.2419 6.6712
Bi 2.1586 2.2459 0.0000
Bi 2.2143 -0.0008 2.4740
Au 0.0339 0.0009 4.5393
Au 2.1990 2.2402 4.6058
```

Values from the calculation:
Final energy in eV per formula unit: -26.442
Space-group type: No. 2

The following is a DFT calculation (PBE-GGA) of an optimized crystal structure of LiBiAu.

The structure in extended XYZ format:
```
3
Lattice="-1.9354 1.9354 4.3109 1.9354 -1.9354 4.3109 1.9354 1.9354 -4.3109" Properties=species:S:1:pos:R:3 pbc="T T T"
Li 0.0000 0.0000 0.0000
Bi 0.0000 0.0000 2.8130
Au 0.0000 0.0000 5.7010
```

Values from the calculation:
Final energy in eV per formula unit: -9.897
Space-group type: No. 107

The following is a DFT calculation (PBE-GGA) of an optimized crystal structure of Li3BiAu4.

The structure in extended XYZ format:
```
16
Lattice="9.0188 0.0000 0.0000 0.0000 6.9962 0.0000 0.0000 0.0000 4.5088" Properties=species:S:1:pos:R:3 pbc="T T T"
Li 0.0000 0.0000 0.0000
Li 2.2547 0.0000 2.2341
Li 2.2547 3.4981 2.2475
Li 4.5094 0.0000 0.0000
Li 6.7641 0.0000 2.2746
Li 6.7641 3.4981 2.2613
Bi 0.0000 3.4981 0.0000
Bi 4.5094 3.4981 0.0000
Au 0.0000 1.4782 2.2544
Au 0.0000 5.5180 2.2544
Au 2.2547 1.4779 4.4890
Au 2.2547 5.5183 4.4890
Au 4.5094 1.4782 2.2544
Au 4.5094 5.5180 2.2544
Au 6.7641 1.4779 0.0198
Au 6.7641 5.5183 0.0198
```

Values from the calculation:
Polymorph energy (0 for the lowest one) in meV/atom: 0
Space-group type: No. 51

The following is a DFT calculation (PBE-GGA) of an optimized crystal structure of LiLuBiAu.

The structure in extended XYZ format:
```
4
Lattice="0.0000 3.5734 3.5734 3.5734 0.0000 3.5734 3.5734 3.5734 0.0000" Properties=species:S:1:pos:R:3 pbc="T T T"
Li 0.0000 0.0000 0.0000
Lu 3.5734 3.5734 3.5734
Bi 1.7867 1.7867 1.7867
Au 5.3601 5.3601 5.3601
```

Values from the calculation:
Final energy in eV per formula unit: -16.075
Space-group type: No. 216

The following is a DFT calculation (PBE-GGA) of an optimized crystal structure of LiMgBiAu.

The structure in extended XYZ format:
```
4
Lattice="4.5532 -2.3024 0.0000 4.5532 2.3024 0.0000 -2.3208 0.0000 3.9771" Properties=species:S:1:pos:R:3 pbc="T T T"
Li 0.0000 0.0000 0.0000
Mg 3.3909 0.0000 1.9916
Bi 6.2493 0.0000 0.9946
Au 0.5355 0.0000 2.9836
```

Values from the calculation:
Polymorph energy (0 for the lowest one) in meV/atom: 0
Space-group type: No. 8

The following is a DFT calculation (PBE-GGA) of an optimized crystal structure of LiMgBiAu.

The structure in extended XYZ format:
```
4
Lattice="0.0000 3.4646 3.4646 3.4646 0.0000 3.4646 3.4646 3.4646 0.0000" Properties=species:S:1:pos:R:3 pbc="T T T"
Li 0.0000 0.0000 0.0000
Mg 3.4646 3.4646 3.4646
Bi 5.1969 5.1969 5.1969
Au 1.7323 1.7323 1.7323
```

Values from the calculation:
Polymorph energy (0 for the lowest one) in meV/atom: 19
Space-group type: No. 216

The following is a DFT calculation (PBE-GGA) of an optimized crystal structure of NaLi2Bi2Au2.

The structure in extended XYZ format:
```
7
Lattice="2.3478 1.3555 8.8874 -2.3478 1.3555 8.8874 0.0000 -2.7110 8.8874" Properties=species:S:1:pos:R:3 pbc="T T T"
Na 0.0000 0.0000 0.0000
Li 0.0000 0.0000 3.7543
Li 0.0000 0.0000 22.9079
Bi 0.0000 0.0000 6.7801
Bi 0.0000 0.0000 19.8821
Au 0.0000 0.0000 11.8490
Au 0.0000 0.0000 14.8132
```

Values from the calculation:
Final energy in eV per formula unit: -22.144
Space-group type: No. 166

The following is a DFT calculation (PBE-GGA) of an optimized crystal structure of LiNiBiAu.

The structure in extended XYZ format:
```
4
Lattice="0.0000 3.2424 3.2424 3.2424 0.0000 3.2424 3.2424 3.2424 0.0000" Properties=species:S:1:pos:R:3 pbc="T T T"
Li 0.0000 0.0000 0.0000
Ni 3.2424 3.2424 3.2424
Bi 1.6212 1.6212 1.6212
Au 4.8635 4.8635 4.8635
```

Values from the calculation:
Final energy in eV per formula unit: -15.550
Space-group type: No. 216

The following is a DFT calculation (PBE-GGA) of an optimized crystal structure of LiBiAu2O.

The structure in extended XYZ format:
```
5
Lattice="5.1307 0.0000 0.0000 0.0000 5.1307 0.0000 0.0000 0.0000 3.4209" Properties=species:S:1:pos:R:3 pbc="T T T"
Li 0.0000 0.0000 0.0000
Bi 2.5653 2.5653 1.7104
Au 0.0000 2.5653 0.0000
Au 2.5653 0.0000 0.0000
O 0.0000 0.0000 1.7104
```

Values from the calculation:
Final energy in eV per formula unit: -17.580
Space-group type: No. 123

The following is a DFT calculation (PBE-GGA) of an optimized crystal structure of Li2BiAuO4.

The structure in extended XYZ format:
```
8
Lattice="-2.8265 2.8265 3.1497 2.8265 -2.8265 3.1497 2.8265 2.8265 -3.1497" Properties=species:S:1:pos:R:3 pbc="T T T"
Li 0.0000 0.0000 0.0000
Li 0.0000 2.8265 1.5748
Bi 2.8265 0.0000 1.5748
Au 0.0000 0.0000 3.1497
O 1.7049 1.1327 -0.1788
O 1.6937 -1.1215 3.3285
O 1.1327 3.9480 0.1788
O 1.1215 1.6937 2.9709
```

Values from the calculation:
Final energy in eV per formula unit: -39.534
Space-group type: No. 82

The following is a DFT calculation (PBE-GGA) of an optimized crystal structure of Li2BiAuO.

The structure in extended XYZ format:
```
5
Lattice="4.1403 0.0000 0.0000 0.0000 4.1403 0.0000 0.0000 0.0000 4.9685" Properties=species:S:1:pos:R:3 pbc="T T T"
Li 0.0000 2.0701 0.0000
Li 2.0701 0.0000 0.0000
Bi 0.0000 0.0000 2.4843
Au 2.0701 2.0701 2.4843
O 0.0000 0.0000 0.0000
```

Values from the calculation:
Final energy in eV per formula unit: -20.354
Space-group type: No. 123

The following is a DFT calculation (PBE-GGA) of an optimized crystal structure of LiBiPdAu.

The structure in extended XYZ format:
```
4
Lattice="-2.3425 2.3425 3.4891 2.3425 -2.3425 3.4891 2.3425 2.3425 -3.4891" Properties=species:S:1:pos:R:3 pbc="T T T"
Li 0.0000 0.0000 0.0000
Bi 0.0000 0.0000 3.4891
Pd 2.3425 0.0000 1.7446
Au 0.0000 2.3425 1.7446
```

Values from the calculation:
Polymorph energy (0 for the lowest one) in meV/atom: 0
Space-group type: No. 119